1.
First-principles (PBE) data for KAlGa2Fe after structural relaxation, as listed in the Alexandria database.

Lattice parameters (Å, degrees): 4.696 4.696 4.649 90.00 90.00 90.00
Positions (direct):
Ga: 0.500 0.000 0.000
Ga: 0.000 0.500 0.000
Fe: 0.000 0.000 0.000
Al: 0.000 0.000 0.500
K: 0.500 0.500 0.500

Properties
The calculation puts the spin magnetization at 0.000 μB/f.u. The calculation puts the total energy at -20.0 eV per cell. The density of states at the Fermi level is 0.67 states/eV/cell.

2.
First-principles (PBE) data for Ba3La3Ti4NbO18 after structural relaxation, as listed in the Alexandria database.

Lattice parameters (Å, degrees): 14.154 14.154 14.154 23.14 23.14 23.14
Positions (direct):
O: 0.079 0.587 0.079
O: 0.862 0.361 0.361
O: 0.587 0.079 0.079
O: 0.914 0.914 0.424
La: 0.861 0.861 0.861
O: 0.643 0.137 0.643
Ti: 0.052 0.052 0.052
Nb: 0.949 0.949 0.949
O: 0.693 0.202 0.202
O: 0.914 0.424 0.914
Ba: 0.138 0.138 0.138
Ti: 0.775 0.775 0.775
O: 0.424 0.914 0.914
O: 0.202 0.693 0.202
O: 0.804 0.804 0.309
Ba: 0.311 0.311 0.311
O: 0.643 0.643 0.137
O: 0.137 0.643 0.643
La: 0.409 0.409 0.409
O: 0.361 0.862 0.361
Ba: 0.584 0.584 0.584
O: 0.079 0.079 0.587
O: 0.309 0.804 0.804
O: 0.804 0.309 0.804
O: 0.202 0.202 0.693
Ti: 0.222 0.222 0.222
O: 0.361 0.361 0.862
Ti: 0.498 0.498 0.498
La: 0.685 0.685 0.685

Properties
The calculation puts the spin magnetization at 0.000 μB/f.u. The calculation puts the total energy at -241.6 eV per cell. The density of states at the Fermi level is 0.00 states/eV/cell. The uncorrected formation energy comes out at -90.12 eV/f.u.

3.
First-principles (PBE) data for Nd4HoTm3S8 after structural relaxation, as listed in the Alexandria database.

Lattice parameters (Å, degrees): 7.826 8.034 7.826 119.15 120.00 90.00
Positions (direct):
Ho: 0.000 0.500 0.000
S: 0.259 0.272 0.015
S: 0.756 0.272 0.015
S: 0.741 0.728 0.985
S: 0.244 0.728 0.985
S: 0.756 0.272 0.512
Nd: 0.000 0.000 0.500
Tm: 0.000 0.500 0.500
Nd: 0.500 0.000 0.500
Nd: 0.000 0.000 0.000
S: 0.258 0.273 0.515
Tm: 0.500 0.500 0.000
Tm: 0.500 0.500 0.500
S: 0.742 0.727 0.485
S: 0.244 0.728 0.488
Nd: 0.500 0.000 0.000

Properties
The calculation puts the spin magnetization at 0.000 μB/f.u. The calculation puts the total energy at -102.0 eV per cell. The density of states at the Fermi level is 6.30 states/eV/cell. The uncorrected formation energy comes out at -31.87 eV/f.u.

4.
First-principles (PBE) data for Dy2UAg2Se6 after structural relaxation, as listed in the Alexandria database.

Lattice parameters (Å, degrees): 7.277 7.277 6.809 94.84 94.84 120.54
Positions (direct):
Se: 0.292 0.292 0.268
Se: 0.708 0.708 0.732
Dy: 0.666 0.334 0.500
Se: 0.630 0.964 0.272
Ag: 0.884 0.116 0.000
Se: 0.036 0.370 0.728
Se: 0.370 0.036 0.728
Dy: 0.334 0.666 0.500
U: 0.000 0.000 0.500
Ag: 0.116 0.884 0.000
Se: 0.964 0.630 0.272

Properties
The calculation puts the spin magnetization at 2.000 μB/f.u. The calculation puts the total energy at -59.9 eV per cell. The density of states at the Fermi level is 5.93 states/eV/cell. The uncorrected formation energy comes out at -12.79 eV/f.u.

5.
First-principles (PBE) data for Li2TmPt2 after structural relaxation, as listed in the Alexandria database.

Lattice parameters (Å, degrees): 2.978 7.285 7.285 90.00 90.00 90.00
Positions (direct):
Tm: 0.000 0.000 0.000
Pt: 0.500 0.813 0.687
Tm: 0.000 0.500 0.500
Li: 0.000 0.610 0.890
Pt: 0.500 0.313 0.813
Li: 0.000 0.110 0.610
Pt: 0.500 0.187 0.313
Li: 0.000 0.390 0.110
Pt: 0.500 0.687 0.187
Li: 0.000 0.890 0.390

Properties
The calculation puts the spin magnetization at 0.000 μB/f.u. The calculation puts the total energy at -48.2 eV per cell. The density of states at the Fermi level is 4.79 states/eV/cell.

6.
First-principles (PBE) data for Ta5Re4Tc after structural relaxation, as listed in the Alexandria database.

Lattice parameters (Å, degrees): 3.199 3.199 16.000 90.00 90.00 90.00
Positions (direct):
Ta: 0.500 0.500 0.300
Re: 0.000 0.000 0.801
Tc: 0.000 0.000 0.000
Ta: 0.500 0.500 0.500
Re: 0.000 0.000 0.400
Ta: 0.500 0.500 0.700
Ta: 0.500 0.500 0.901
Ta: 0.500 0.500 0.099
Re: 0.000 0.000 0.199
Re: 0.000 0.000 0.600

Properties
The calculation puts the spin magnetization at 0.000 μB/f.u. The calculation puts the total energy at -123.8 eV per cell. The density of states at the Fermi level is 3.09 states/eV/cell.

What is the density of states at the Fermi level in the fourth record?
5.93 states/eV/cell

Which formula does entry 3 have?
Nd4HoTm3S8